17
Lattice="-3.820 3.820 3.636 3.820 -3.820 3.636 3.820 3.820 -3.636" Properties=species:S:1:pos:R:3 comment="MoOs4O12 (PBE with a Hubbard U, relaxed)" space_group=I4/mmm dos_ef_per_ev_cell=11.381 dft_energy_ev_per_atom=-7.536 pbc="T T T"
Mo 0.000 0.000 0.000
Os 1.910 1.910 -1.818
Os 1.910 -1.910 1.818
Os -1.910 1.910 1.818
Os 1.910 1.910 1.818
O 3.820 -2.068 2.317
O 1.752 0.000 1.319
O 5.888 0.000 1.319
O 2.261 2.261 0.000
O 1.559 -1.559 3.636
O 0.000 1.752 1.319
O 3.820 2.068 2.317
O -1.559 1.559 3.636
O 1.559 1.559 3.636
O -2.068 3.820 2.317
O 2.068 3.820 2.317
O 0.000 5.888 1.319